A.
The following is a GGA-PBE calculation of an optimized crystal structure of ScNb, from the Open Quantum Materials Database.

Geometry as POSCAR:
```
ScNb
1.0
-0.848 -2.694 -1.214
2.619 1.334 -0.900
2.474 -2.412 3.625
Sc Nb
1 1
Cartesian
2.082 -0.611 -0.098
2.163 -3.160 1.610
```

Values from the calculation:
The total magnetization is 0.02 μB per cell. The density comes out at 5.59 g cm⁻³.

---

B.
The following is a GGA-PBE calculation of an optimized crystal structure of ScNb, from the Open Quantum Materials Database.

Geometry as POSCAR:
```
ScNb
1.0
-0.166 -2.786 -1.477
0.537 0.109 3.110
-8.751 -0.284 1.521
Nb Sc
2 2
Cartesian
-1.885 -0.927 1.961
-6.495 -2.034 1.193
0.000 0.000 0.000
-4.375 -0.142 0.761
```

Values from the calculation:
The total magnetization is 0.47 μB per cell. The density comes out at 5.97 g cm⁻³.

---

Name the most stable of them. A.

---

A.
The following is a GGA-PBE calculation of an optimized crystal structure of Sc2Nb, from the Open Quantum Materials Database.

Geometry as POSCAR:
```
Sc2Nb
1.0
0.000 3.963 3.963
3.963 0.000 3.963
3.963 3.963 0.000
Sc Nb
4 2
Cartesian
4.953 4.953 4.953
4.953 2.972 2.972
2.972 2.972 4.953
2.972 4.953 2.972
0.000 0.000 0.000
1.981 1.981 1.981
```

Values from the calculation:
The total magnetization is 0.04 μB per cell. The density comes out at 4.88 g cm⁻³.

---

B.
The following is a GGA-PBE calculation of an optimized crystal structure of Sc2Nb, from the Open Quantum Materials Database.

Geometry as POSCAR:
```
Sc2Nb
1.0
-2.354 -6.916 2.389
4.214 -3.955 5.067
-2.519 -0.926 7.202
Sc Nb
4 2
Cartesian
-1.424 -7.882 6.691
1.860 -6.401 8.030
-1.507 -4.887 9.098
-0.247 -4.424 5.497
-0.165 -2.949 3.664
-0.330 -5.898 7.329
```

Values from the calculation:
The total magnetization is 0.01 μB per cell. The density comes out at 1.89 g cm⁻³.

---

C.
The following is a GGA-PBE calculation of an optimized crystal structure of Sc2Nb, from the Open Quantum Materials Database.

Geometry as POSCAR:
```
Sc2Nb
1.0
-1.373 5.732 0.756
-3.091 4.227 2.810
7.082 -3.306 3.500
Nb Sc
2 4
Cartesian
-1.539 7.656 4.324
4.157 -1.003 2.741
-0.340 4.998 3.379
-0.479 1.353 0.592
2.957 1.655 3.686
3.096 5.300 6.474
```

Values from the calculation:
The total magnetization is 0.01 μB per cell. The density comes out at 4.74 g cm⁻³.

---

Name the most stable of them. C.

---

A.
The following is a GGA-PBE calculation of an optimized crystal structure of Nb5Si3, from the Open Quantum Materials Database.

Geometry as POSCAR:
```
Nb5Si3
1.0
0.000 0.000 5.096
5.035 -5.035 2.548
5.035 5.035 -2.548
Nb Si
10 6
Cartesian
2.209 -0.767 5.096
5.035 0.000 3.822
2.209 0.767 2.548
7.861 0.767 0.000
5.035 0.000 1.274
5.802 2.826 0.000
4.269 -2.826 5.096
7.861 -0.767 2.548
5.802 -2.826 2.548
4.269 2.826 2.548
6.695 -1.659 5.096
3.376 1.659 0.000
0.000 0.000 3.822
3.376 -1.659 2.548
6.695 1.659 2.548
0.000 0.000 1.274
```

Values from the calculation:
The total magnetization is 0.00 μB per cell. The density comes out at 7.05 g cm⁻³.

---

B.
The following is a GGA-PBE calculation of an optimized crystal structure of Nb5Si3, from the Open Quantum Materials Database.

Geometry as POSCAR:
```
Nb5Si3
1.0
1.154 5.182 6.511
-3.810 7.435 -0.884
-2.439 -7.999 -0.800
Nb Si
10 6
Cartesian
-0.681 2.340 5.931
-4.414 2.277 -1.105
-2.361 0.209 4.502
-2.341 3.094 3.459
-2.754 1.524 1.368
-1.328 6.308 2.813
0.158 1.339 3.156
-5.252 3.278 1.671
0.000 0.000 0.000
-2.733 4.409 0.325
-2.490 -0.570 0.103
-1.605 -1.841 3.370
-1.991 9.462 4.220
-0.664 3.154 1.407
-3.489 6.458 1.457
-2.604 5.187 4.724
```

Values from the calculation:
The total magnetization is 0.03 μB per cell. The density comes out at 6.14 g cm⁻³.

---

Name the most stable of them. A.

---

A.
The following is a GGA-PBE calculation of an optimized crystal structure of Nb3Si, from the Open Quantum Materials Database.

Geometry as POSCAR:
```
Nb3Si
1.0
-5.162 5.162 2.579
5.162 -5.162 2.579
5.162 5.162 -2.579
Nb Si
12 4
Cartesian
1.005 -0.850 1.354
3.180 2.927 -1.269
1.477 5.014 -0.076
1.982 2.235 1.310
2.235 -1.982 3.847
-0.148 3.685 2.655
4.157 6.012 -1.225
2.927 7.144 1.269
5.309 1.477 0.076
4.312 4.157 1.225
3.685 0.148 2.502
0.850 1.005 3.803
4.889 -2.153 2.673
2.153 4.889 2.484
0.273 7.315 0.094
3.009 0.273 -0.094
```

Values from the calculation:
The total magnetization is 0.03 μB per cell. The density comes out at 7.41 g cm⁻³.

---

B.
The following is a GGA-PBE calculation of an optimized crystal structure of Nb3Si, from the Open Quantum Materials Database.

Geometry as POSCAR:
```
Nb3Si
1.0
-9.787 0.556 3.028
1.040 -8.902 4.994
1.472 2.575 4.284
Si Nb
8 24
Cartesian
-1.555 -2.689 5.134
-7.174 -3.396 10.658
-5.843 -6.712 9.395
-0.102 -2.376 1.648
-1.433 0.941 2.911
-3.090 -4.124 9.693
-5.721 -3.082 7.171
-4.186 -1.647 2.613
-6.533 -7.491 6.893
-8.980 0.679 4.349
-4.890 -0.602 7.000
-2.386 -5.169 5.306
-4.321 1.954 5.150
-7.592 -1.638 8.433
-5.937 -0.264 3.988
-4.404 -2.938 4.951
1.705 -6.450 7.957
-2.863 -0.515 4.608
-6.968 1.014 6.743
-0.755 -0.861 6.969
-7.393 -1.899 5.471
-0.308 -6.785 5.563
-0.743 1.720 5.413
-2.872 -2.833 7.355
-7.304 -4.807 8.421
-4.413 -5.256 7.698
-1.339 -5.508 8.318
0.029 -0.965 3.884
0.117 -3.872 6.835
0.316 -4.133 3.872
-2.955 -7.726 7.156
-6.521 -4.910 5.337
```

Values from the calculation:
The total magnetization is 0.00 μB per cell. The density comes out at 7.43 g cm⁻³.

---

Name the most stable of them. B.

---

A.
The following is a GGA-PBE calculation of an optimized crystal structure of Nb5Si4, from the Open Quantum Materials Database.

Geometry as POSCAR:
```
Nb5Si4
1.0
7.854 0.000 0.000
-3.927 6.801 0.000
0.000 0.000 5.344
Si Nb
8 10
Cartesian
2.369 4.104 4.008
3.115 0.000 4.008
-1.557 2.698 4.008
4.739 0.000 1.336
0.000 0.000 0.000
-2.369 4.104 1.336
0.000 0.000 2.672
1.557 2.698 1.336
3.927 2.267 2.672
2.861 4.955 1.336
-1.066 1.847 1.336
3.927 2.267 0.000
0.000 4.534 2.672
5.721 0.000 4.008
-2.861 4.955 4.008
2.133 0.000 1.336
0.000 4.534 0.000
1.066 1.847 4.008
```

Values from the calculation:
The total magnetization is 0.01 μB per cell. The density comes out at 6.71 g cm⁻³.

---

B.
The following is a GGA-PBE calculation of an optimized crystal structure of Nb5Si4, from the Open Quantum Materials Database.

Geometry as POSCAR:
```
Nb5Si4
1.0
6.790 0.000 0.000
0.000 6.790 0.000
0.000 0.000 12.479
Si Nb
16 20
Cartesian
1.418 5.855 7.201
1.977 2.460 8.398
0.289 2.072 10.156
2.460 1.977 4.081
5.855 1.418 5.278
4.718 6.501 8.562
5.371 0.935 0.962
4.813 4.330 2.158
6.501 4.718 3.916
3.684 1.323 11.682
2.072 0.289 2.323
4.330 4.813 10.321
5.467 3.106 7.036
0.935 5.371 11.517
3.106 5.467 5.443
1.323 3.684 0.797
0.026 5.764 1.543
6.764 1.026 7.782
3.421 1.099 6.605
3.369 5.691 0.366
1.147 1.147 0.000
3.369 2.369 1.577
2.296 0.026 9.725
0.026 2.296 2.754
1.099 3.421 5.874
5.764 0.026 10.936
4.421 3.421 4.663
6.764 4.494 8.993
2.248 4.542 3.120
1.026 6.764 4.697
5.691 3.369 12.113
4.494 6.764 3.485
2.369 3.369 10.902
3.421 4.421 7.816
4.542 2.248 9.359
5.643 5.643 6.239
```

Values from the calculation:
The total magnetization is 0.00 μB per cell. The density comes out at 6.66 g cm⁻³.

---

Name the most stable of them. B.

---

A.
The following is a GGA-PBE calculation of an optimized crystal structure of Zr2NbSi2, from the Open Quantum Materials Database.

Geometry as POSCAR:
```
Zr2NbSi2
1.0
-1.982 1.982 5.958
1.982 -1.982 5.958
1.982 1.982 -5.958
Zr Nb Si
2 1 2
Cartesian
1.982 0.000 2.979
0.000 1.982 2.979
0.000 0.000 0.000
0.000 0.000 7.076
0.000 0.000 4.841
```

Values from the calculation:
The total magnetization is 0.02 μB per cell. The density comes out at 5.88 g cm⁻³.

---

B.
The following is a GGA-PBE calculation of an optimized crystal structure of Zr2NbSi2, from the Open Quantum Materials Database.

Geometry as POSCAR:
```
Zr2NbSi2
1.0
-2.517 4.660 -4.418
-4.649 1.951 4.707
2.411 2.555 1.322
Zr Si Nb
4 4 2
Cartesian
-4.328 6.034 1.558
-2.376 3.413 3.065
-2.379 5.754 -1.454
-0.427 3.132 0.053
-5.108 5.298 -0.926
-2.153 3.155 -2.173
-5.013 3.456 2.462
-2.058 1.314 1.214
-3.583 3.306 0.144
0.000 0.000 0.000
```

Values from the calculation:
The total magnetization is 0.01 μB per cell. The density comes out at 6.17 g cm⁻³.

---

Name the most stable of them. B.